Entry from Alexandria: an optimized crystal structure of Rb3AlSn (PBE).

Computed properties:
- total moment (Bohr magnetons per cell) = 0.00
- energy above the most stable polymorph in this dataset (kJ/mol of formula units) = 0

The structure in POSCAR format:
```
Rb3AlSn
1.0
6.942 0.000 0.000
0.000 6.942 0.000
0.000 0.000 6.942
Sn Rb Al
1 3 1
direct
0.500 0.500 0.500
0.000 0.500 0.000
0.000 0.000 0.500
0.500 0.000 0.000
0.000 0.000 0.000
```